No. 1
VASP calculation (GGA-PBE) on a relaxed BiPt2Se4 crystal.

abc: 7.627 7.627 7.627
angles: 137.80 137.80 61.21
Fractional coordinates of all 7 atoms:
Bi  0.000  0.000  0.000
Pt  0.404  0.404  0.000
Pt  0.596  0.596  0.000
Se  0.000  0.500  0.500
Se  0.227  0.227  0.000
Se  0.500  0.000  0.500
Se  0.773  0.773  0.000

Results
uncorrected formation energy	0.48	eV/atom

=====

No. 2
VASP calculation (GGA-PBE) on a relaxed AcPmCdAg crystal.

abc: 5.530 5.530 5.530
angles: 60.00 60.00 60.00
Fractional coordinates of all 4 atoms:
Ac  0.000  0.000  0.000
Pm  0.500  0.500  0.500
Cd  0.750  0.750  0.750
Ag  0.250  0.250  0.250

Results
energy relative to the elements	-0.25	eV per atom
relative energy among the computed polymorphs	26	meV per atom

=====

No. 3
VASP calculation (GGA-PBE) on a relaxed Y6MgTe3As2 crystal.

abc: 9.549 9.549 8.739
angles: 101.41 101.41 25.54
Fractional coordinates of all 12 atoms:
Y  0.013  0.013  0.263
Y  0.326  0.326  0.429
Y  0.328  0.328  0.883
Y  0.672  0.672  0.117
Y  0.674  0.674  0.571
Y  0.987  0.987  0.737
Mg  0.500  0.500  0.000
Te  0.161  0.161  0.837
Te  0.500  0.500  0.500
Te  0.839  0.839  0.163
As  0.170  0.170  0.342
As  0.830  0.830  0.658

Results
uncorrected formation energy	-1.16	eV/atom

=====

No. 4
VASP calculation (GGA-PBE) on a relaxed NaCr2Os crystal.

abc: 5.868 5.868 5.868
angles: 104.15 104.15 120.74
Fractional coordinates of all 8 atoms:
Na  0.000  0.000  0.000
Na  0.750  0.250  0.500
Cr  0.187  0.625  0.062
Cr  0.375  0.437  0.562
Cr  0.563  0.125  0.938
Cr  0.875  0.813  0.438
Os  0.250  0.750  0.500
Os  0.500  0.500  0.000

Results
energy relative to the elements	1.15	eV per atom
relative energy among the computed polymorphs	350	meV per atom

=====

No. 5
VASP calculation (GGA-PBE) on a relaxed HoScAlTl crystal.

abc: 5.099 5.099 5.099
angles: 60.00 60.00 60.00
Fractional coordinates of all 4 atoms:
Ho  0.000  0.000  0.000
Sc  0.500  0.500  0.500
Al  0.250  0.250  0.250
Tl  0.750  0.750  0.750

Results
energy relative to the elements	-0.30	eV per atom
relative energy among the computed polymorphs	32	meV per atom

=====

No. 6
VASP calculation (GGA-PBE) on a relaxed La2Zn5Cu12 crystal.

abc: 6.643 6.643 6.643
angles: 83.34 83.34 83.34
Fractional coordinates of all 19 atoms:
La  0.146  0.146  0.146
La  0.854  0.854  0.854
Zn  0.000  0.500  0.500
Zn  0.400  0.400  0.400
Zn  0.500  0.000  0.500
Zn  0.500  0.500  0.000
Zn  0.600  0.600  0.600
Cu  0.157  0.157  0.651
Cu  0.157  0.651  0.157
Cu  0.204  0.500  0.796
Cu  0.204  0.796  0.500
Cu  0.349  0.843  0.843
Cu  0.500  0.204  0.796
Cu  0.500  0.796  0.204
Cu  0.651  0.157  0.157
Cu  0.796  0.204  0.500
Cu  0.796  0.500  0.204
Cu  0.843  0.349  0.843
Cu  0.843  0.843  0.349

Results
energy relative to the elements	-0.14	eV per atom

=====

| no. | spin magnetization (μB per cell) |
| --- | --- |
| 1 | 2.548 |
| 2 | 0.006 |
| 3 | 0.000 |
| 4 | 10.042 |
| 5 | 0.000 |
| 6 | 0.000 |